Entry 1:
VASP calculation (meta-GGA SCAN) on a PBEsol-optimized structure of BiC3Br.

The structure in POSCAR format:
```
BiC3Br
1.0
4.118 0.000 0.000
0.000 4.118 0.000
0.000 0.000 4.118
C Bi Br
3 1 1
Direct
0.000 0.500 0.000 C
0.000 0.000 0.500 C
0.500 0.000 0.000 C
0.500 0.500 0.500 Bi
0.000 0.000 0.000 Br
```

Raw formation energy = 3417 meV per atom
Total DFT energy (no corrections) = -22.25 eV/atom

=====

Entry 2:
VASP calculation (meta-GGA SCAN) on a PBEsol-optimized structure of SiTcHg3.

The structure in POSCAR format:
```
SiTcHg3
1.0
4.908 0.000 0.000
0.000 4.908 0.000
0.000 0.000 4.908
Si Hg Tc
1 3 1
Direct
0.000 0.000 0.000 Si
0.000 0.500 0.000 Hg
0.000 0.000 0.500 Hg
0.500 0.000 0.000 Hg
0.500 0.500 0.500 Tc
```

Raw formation energy = 1058 meV per atom
Total DFT energy (no corrections) = -48.86 eV/atom

=====

Entry 3:
VASP calculation (meta-GGA SCAN) on a PBEsol-optimized structure of KScCu2.

The structure in POSCAR format:
```
KScCu2
1.0
3.360 0.000 0.084
0.000 3.361 0.000
-0.182 0.000 7.659
Cu K Sc
2 1 1
Direct
0.999 0.000 0.666 Cu
0.001 0.000 0.334 Cu
0.500 0.500 0.000 K
0.500 0.500 0.500 Sc
```

Total DFT energy (no corrections) = -13.16 eV/atom
Relative energy among the computed polymorphs = 0.0 meV per atom

=====

Entry 4:
VASP calculation (meta-GGA SCAN) on a PBEsol-optimized structure of YCo3Ge.

The structure in POSCAR format:
```
YCo3Ge
1.0
4.502 0.000 0.000
0.000 4.502 0.000
0.000 0.000 4.502
Y Ge Co
1 1 3
Direct
0.000 0.000 0.000 Y
0.500 0.500 0.500 Ge
0.000 0.500 0.000 Co
0.000 0.000 0.500 Co
0.500 0.000 0.000 Co
```

Total DFT energy (no corrections) = -17.96 eV/atom
Relative energy among the computed polymorphs = 1488.1 meV per atom

=====

Entry 5:
VASP calculation (meta-GGA SCAN) on a PBEsol-optimized structure of NbCu2PF.

The structure in POSCAR format:
```
NbCu2PF
1.0
4.134 0.000 0.000
0.000 4.134 0.000
0.000 0.000 4.738
P Nb Cu F
1 1 2 1
Direct
0.000 0.000 0.000 P
0.000 0.000 0.500 Nb
0.000 0.500 0.000 Cu
0.500 0.000 0.000 Cu
0.500 0.500 0.500 F
```

Raw formation energy = 9 meV per atom
Total DFT energy (no corrections) = -15.48 eV/atom

=====

Entry 6:
VASP calculation (meta-GGA SCAN) on a PBEsol-optimized structure of Re2AgHg.

The structure in POSCAR format:
```
Re2AgHg
1.0
-1.262 1.842 -1.668
-2.650 0.720 0.473
1.633 7.969 5.235
Ag Hg Re
1 1 2
Direct
0.500 0.500 0.500 Ag
0.000 0.000 0.000 Hg
0.248 0.248 0.255 Re
0.752 0.752 0.745 Re
```

Total DFT energy (no corrections) = -59.60 eV/atom

=====

Entry 7:
VASP calculation (meta-GGA SCAN) on a PBEsol-optimized structure of SmVO4.

The structure in POSCAR format:
```
SmVO4
1.0
-2.630 -1.153 -4.181
-3.083 -2.943 2.751
-0.575 6.510 1.643
Sm V O
2 2 8
Direct
0.750 0.250 0.500 Sm
0.500 0.500 0.000 Sm
0.250 0.750 0.500 V
0.000 0.000 0.000 V
0.918 0.530 0.340 O
0.422 0.809 0.340 O
0.059 0.668 0.840 O
0.780 0.172 0.840 O
0.332 0.220 0.160 O
0.828 0.941 0.160 O
0.191 0.082 0.660 O
0.470 0.578 0.660 O
```

Raw formation energy = -3282 meV per atom
Total DFT energy (no corrections) = -17.76 eV/atom

=====

Entry 8:
VASP calculation (meta-GGA SCAN) on a PBEsol-optimized structure of ScCuRh2.

The structure in POSCAR format:
```
ScCuRh2
1.0
2.782 0.015 0.000
-0.324 4.824 0.000
-1.229 -2.419 4.270
Cu Rh Sc
1 2 1
Direct
0.000 0.500 0.000 Cu
0.000 0.000 0.500 Rh
0.500 0.500 0.500 Rh
0.500 0.000 0.000 Sc
```

Total DFT energy (no corrections) = -24.61 eV/atom

=====

Entry 9:
VASP calculation (meta-GGA SCAN) on a PBEsol-optimized structure of CaNbCu2S.

The structure in POSCAR format:
```
CaNbCu2S
1.0
4.663 0.000 0.000
0.000 4.785 0.000
0.000 0.000 4.785
S Nb Ca Cu
1 1 1 2
Direct
0.500 0.000 0.000 S
0.000 0.000 0.000 Nb
0.500 0.500 0.500 Ca
0.000 0.000 0.500 Cu
0.000 0.500 0.000 Cu
```

Raw formation energy = 37 meV per atom
Total DFT energy (no corrections) = -16.53 eV/atom

=====

Entry 10:
VASP calculation (meta-GGA SCAN) on a PBEsol-optimized structure of Li4ZnCd3.

The structure in POSCAR format:
```
Li4ZnCd3
1.0
-1.039 0.471 -4.435
-0.162 -3.683 -2.717
-7.633 -1.934 -0.782
Zn Li Cd
1 4 3
Direct
0.376 0.376 0.872 Zn
0.126 0.126 0.622 Li
0.623 0.623 0.130 Li
0.003 0.003 0.991 Li
0.497 0.497 0.510 Li
0.874 0.874 0.377 Cd
0.746 0.746 0.762 Cd
0.255 0.255 0.236 Cd
```

Total DFT energy (no corrections) = -14.58 eV/atom

=====

Entry 11:
VASP calculation (meta-GGA SCAN) on a PBEsol-optimized structure of LaNi2Ru.

The structure in POSCAR format:
```
LaNi2Ru
1.0
3.993 0.000 0.000
0.000 3.991 0.000
-1.996 -1.995 3.817
La Ni Ru
1 2 1
Direct
0.750 0.250 0.500 La
0.000 0.000 0.000 Ni
0.250 0.750 0.499 Ni
0.500 0.500 0.000 Ru
```

Total DFT energy (no corrections) = -27.32 eV/atom

=====

Entry 12:
VASP calculation (meta-GGA SCAN) on a PBEsol-optimized structure of Fe2Se.

The structure in POSCAR format:
```
Fe2Se
1.0
3.727 0.000 0.000
0.000 3.654 0.000
-1.864 0.000 5.430
Fe Se
4 2
Direct
0.761 0.750 0.522 Fe
0.425 0.750 0.851 Fe
0.239 0.250 0.478 Fe
0.575 0.250 0.149 Fe
0.116 0.750 0.232 Se
0.884 0.250 0.768 Se
```

Raw formation energy = 296 meV per atom
Total DFT energy (no corrections) = -18.48 eV/atom
Relative energy among the computed polymorphs = 217.6 meV per atom

=====

Question: Which value of total DFT energy (no corrections) does entry 10 give?
Answer: -14.58 eV/atom

=====

Question: What is the total DFT energy (no corrections) in the twelfth record?
Answer: -18.48 eV/atom

=====

Question: total DFT energy (no corrections) of number 8 (ScCuRh2)?
Answer: -24.61 eV/atom

=====

Repeat the second record exactly.
VASP calculation (meta-GGA SCAN) on a PBEsol-optimized structure of SiTcHg3.

The structure in POSCAR format:
```
SiTcHg3
1.0
4.908 0.000 0.000
0.000 4.908 0.000
0.000 0.000 4.908
Si Hg Tc
1 3 1
Direct
0.000 0.000 0.000 Si
0.000 0.500 0.000 Hg
0.000 0.000 0.500 Hg
0.500 0.000 0.000 Hg
0.500 0.500 0.500 Tc
```

Raw formation energy = 1058 meV per atom
Total DFT energy (no corrections) = -48.86 eV/atom